[1]
Below is an optimized crystal structure of Tb4IrPd2, with properties calculated at the PBE-GGA level.

## Properties
Energy above the most stable polymorph in this dataset, meV/atom: 0
DFT formation energy, kJ/mol of atoms: -74.1
Total magnetic moment, μB per cell: 0.0
Energy, eV per atom: -6.1638
Symmetry: I2_12_12_1

Lattice parameters (Å, degrees): 7.5734 7.5739 7.5772 109.67 109.69 109.07
Last column: nearest neighbours and their distance in Å.
Positions (direct):
1 Tb 0.8830 0.2513 0.2495  1 Ir 2.79, 2 Pd 2.83-2.89
2 Tb 0.2476 0.4985 0.1316  1 Ir 2.79, 2 Pd 2.83-2.89
3 Tb 0.0022 0.6342 0.7510  1 Ir 2.79, 2 Pd 2.83-2.88
4 Tb 0.7485 0.9977 0.6319  1 Ir 2.79, 2 Pd 2.83-2.89
5 Tb 0.3662 0.1170 0.3678  1 Ir 2.79, 2 Pd 2.83-2.88
6 Tb 0.3673 0.1163 0.8680  1 Ir 2.79, 2 Pd 2.83-2.89
7 Tb 0.5009 0.6328 0.7492  1 Ir 2.79, 2 Pd 2.83-2.89
8 Tb 0.8840 0.7521 0.2510  1 Ir 2.79, 2 Pd 2.84-2.89
9 Ir 0.2503 0.7502 0.4999  4 Tb 2.79
10 Ir 0.9998 0.0000 0.0001  4 Tb 2.79
11 Pd 0.7451 0.3753 0.8697  4 Tb 2.83-2.89
12 Pd 0.5055 0.8748 0.1304  4 Tb 2.83-2.89
13 Pd 0.6251 0.4951 0.3700  4 Tb 2.83-2.89
14 Pd 0.1246 0.2548 0.6300  4 Tb 2.83-2.89

***

[2]
Below is an optimized crystal structure of Tb5IrPd2, with properties calculated at the PBE-GGA level.

## Properties
DFT formation energy, kJ/mol of atoms: -65.4
Total magnetic moment, μB per cell: 0.0
Energy, eV per atom: -5.9774
Symmetry: I4/mcm

Lattice parameters (Å, degrees): 7.1996 7.1996 9.0992 113.30 113.30 90.00
Last column: nearest neighbours and their distance in Å.
Positions (direct):
1 Tb 0.5216 0.6763 0.6979  3 Pd 3.02-3.18, 2 Ir 3.05, 1 Tb 3.38
2 Tb 0.8237 0.9784 0.3021  3 Pd 3.02-3.18, 2 Ir 3.05, 1 Tb 3.38
3 Tb 0.0000 0.0000 0.0000  4 Pd 2.81
4 Tb 0.5000 0.5000 0.0000  4 Pd 2.81
5 Tb 0.1763 0.0216 0.6979  3 Pd 3.02-3.18, 2 Ir 3.05, 1 Tb 3.38
6 Tb 0.6763 0.1763 0.6979  3 Pd 3.02-3.18, 2 Ir 3.05, 1 Tb 3.38
7 Tb 0.0216 0.5216 0.6979  3 Pd 3.02-3.18, 2 Ir 3.05, 1 Tb 3.38
8 Tb 0.3237 0.8237 0.3021  3 Pd 3.02-3.18, 2 Ir 3.05, 1 Tb 3.38
9 Tb 0.9784 0.4784 0.3021  3 Pd 3.02-3.18, 2 Ir 3.05, 1 Tb 3.38
10 Tb 0.4784 0.3237 0.3021  3 Pd 3.02-3.18, 2 Ir 3.05, 1 Tb 3.38
11 Ir 0.7500 0.7500 0.5000  8 Tb 3.05
12 Ir 0.2500 0.2500 0.5000  8 Tb 3.05
13 Pd 0.1326 0.3674 0.0000  1 Pd 2.70, 4 Tb 2.81-3.02
14 Pd 0.6326 0.1326 0.0000  1 Pd 2.70, 4 Tb 2.81-3.02
15 Pd 0.3674 0.8674 0.0000  1 Pd 2.70, 4 Tb 2.81-3.02
16 Pd 0.8674 0.6326 0.0000  1 Pd 2.70, 4 Tb 2.81-3.02

***

- Which value of DFT formation energy does entry 1 give?
  -74.1 kJ/mol of atoms